Entry 1:
# Ba3NaNi (meta-GGA SCAN, single point on PBEsol structure)
data_Ba3NaNi
_chemical_formula_sum 'Ba3 Na1 Ni1'
_cell_length_a 6.0745
_cell_length_b 6.0745
_cell_length_c 6.0745
_cell_angle_alpha 90.00
_cell_angle_beta 90.00
_cell_angle_gamma 90.00
_symmetry_space_group_name_H-M 'P m -3 m'
_symmetry_Int_Tables_number 221
_symmetry_space_group_name_Hall '-P 4 2 3'
loop_
_atom_site_label
_atom_site_type_symbol
_atom_site_fract_x
_atom_site_fract_y
_atom_site_fract_z
_atom_site_occupancy
Ba1 Ba 0.0000 0.0000 0.5000 1
Na1 Na 0.5000 0.5000 0.5000 1
Ni1 Ni 0.0000 0.0000 0.0000 1
# Formation energy from the elements ... 0.24 eV per formula unit

=====

Entry 2:
# SrRu2W (meta-GGA SCAN, single point on PBEsol structure)
data_SrRu2W
_chemical_formula_sum 'Sr2 Ru4 W2'
_cell_length_a 2.8058
_cell_length_b 4.8311
_cell_length_c 10.3843
_cell_angle_alpha 90.00
_cell_angle_beta 90.00
_cell_angle_gamma 90.00
_symmetry_space_group_name_H-M 'I m m 2'
_symmetry_Int_Tables_number 44
loop_
_symmetry_equiv_pos_as_xyz
'x,y,z'
'-x,-y,z'
'-x,y,z'
'x,-y,z'
'x+1/2,y+1/2,z+1/2'
'-x+1/2,-y+1/2,z+1/2'
'-x+1/2,y+1/2,z+1/2'
'x+1/2,-y+1/2,z+1/2'
loop_
_atom_site_label
_atom_site_type_symbol
_atom_site_fract_x
_atom_site_fract_y
_atom_site_fract_z
_atom_site_occupancy
Sr1 Sr 0.0000 0.0000 0.0000 1
Ru1 Ru 0.0000 0.0000 0.5122 1
Ru2 Ru 0.0000 0.5000 0.2191 1
W1 W 0.0000 0.5000 0.7891 1
# Formation energy from the elements ... 3.06 eV per formula unit

=====

Number 1: magnetic moment 0.0 μB per formula unit, raw total energy -27.761 eV per atom. Number 2: magnetic moment 0.0 μB per formula unit, raw total energy -39.638 eV per atom.